The following is a DFT calculation (GGA+U) of a geometry-optimized CoNiHg2O structure.

Cell lengths 5.1372, 5.1372, 3.3187 Å; angles 90.00, 90.00, 90.00 degrees
Closest atoms and distances in Å follow each position.
Element x y z (fractional)
Co 0.0000 0.0000 0.0000  2 O 1.66
Ni 0.5000 0.5000 0.5000  8 Hg 3.06, 2 Ni 3.32
Hg 0.0000 0.5000 0.0000  2 Co 2.57
Hg 0.5000 0.0000 0.0000  2 Co 2.57
O 0.0000 0.0000 0.5000  2 Co 1.66

Computed properties:
For the density of states at the Fermi level, the calculation gives 0.72 states/eV/atom. The theoretical density is 10.140 g/cm³. For the raw total energy, the calculation gives -2.04 eV/atom.